Crystalline Fe2CoH2 at its relaxed geometry. Source: Alexandria, functional PBE.

Structure (POSCAR):
```
Fe2CoH2
1.0
-2.4647 1.8834 -0.2324
-1.8634 -2.3297 0.8810
-1.7303 0.7875 3.9142
Co H Fe
1 2 2
Direct
0.0000 0.0000 0.0000
0.2500 0.7500 0.5000
0.7500 0.2500 0.5000
0.6568 0.6568 0.6865
0.3432 0.3432 0.3135
```

Output
volume: 7.3 A^3/atom
VASP energy: -5.851 eV per atom
Fermi-level density of states: 1.5259 states/eV per atom